KOs2Rh: relaxed, PBE.

```
KOs2Rh
1.0
-3.371 -1.832 2.421
-4.313 0.955 -1.033
-2.649 -3.186 -1.848
Rh K Os
1 1 2
Direct
0.500 0.500 0.500 Rh
0.000 0.000 0.000 K
0.250 0.250 0.250 Os
0.750 0.750 0.750 Os
```

ΔE to the lowest computed polymorph ... 1148 meV/atom

***

RbNa6Pb2: relaxed, PBE.

```
RbNa6Pb2
1.0
5.650 0.003 0.002
2.820 8.070 2.538
2.820 2.889 7.951
Rb Na Pb
1 6 2
Direct
0.000 0.000 0.000 Rb
0.293 0.939 0.475 Na
0.707 0.061 0.525 Na
0.707 0.525 0.061 Na
0.500 0.306 0.694 Na
0.500 0.694 0.306 Na
0.293 0.475 0.939 Na
0.112 0.390 0.390 Pb
0.888 0.610 0.610 Pb
```

ΔE to the lowest computed polymorph ... 75 meV/atom

***

Ta2Ru: relaxed, PBE.

```
Ta2Ru
1.0
0.000 3.747 3.747
3.747 0.000 3.747
3.747 3.747 0.000
Ta Ru
4 2
Direct
0.625 0.625 0.625 Ta
0.125 0.625 0.625 Ta
0.625 0.125 0.625 Ta
0.625 0.625 0.125 Ta
0.000 0.000 0.000 Ru
0.250 0.250 0.250 Ru
```

Energy ... -31.660 eV/f.u.

***

DyTmFePd: relaxed, PBE.

```
DyTmFePd
1.0
-2.944 -2.347 -2.997
1.812 -2.455 -3.720
-0.108 -4.810 0.011
Tm Fe Pd Dy
1 1 1 1
Direct
0.500 0.500 0.500 Tm
0.250 0.250 0.250 Fe
0.750 0.750 0.750 Pd
0.000 0.000 0.000 Dy
```

Energy ... -24.103 eV/f.u.

***

MgTc2Ir: relaxed, PBE.

```
MgTc2Ir
1.0
-3.086 -1.983 3.044
2.405 -2.851 2.968
0.701 4.545 -1.254
Ir Mg Tc
1 1 2
Direct
0.500 0.500 0.000 Ir
0.750 0.250 0.500 Mg
0.000 0.000 0.000 Tc
0.250 0.750 0.500 Tc
```

Energy ... -30.765 eV/f.u.

***

Pm12Mg3Zr5: relaxed, PBE.

```
Pm12Mg3Zr5
1.0
15.381 0.000 0.000
-5.127 14.501 0.000
-5.127 -7.251 12.558
Mg Zr Pm
12 20 48
Direct
0.750 0.375 0.125 Mg
0.875 0.750 0.125 Mg
0.375 0.750 0.625 Mg
0.250 0.125 0.375 Mg
0.875 0.125 0.250 Mg
0.375 0.625 0.250 Mg
0.625 0.375 0.750 Mg
0.125 0.875 0.750 Mg
0.750 0.875 0.625 Mg
0.625 0.250 0.375 Mg
0.125 0.250 0.875 Mg
0.250 0.625 0.875 Mg
0.125 0.375 0.250 Zr
0.000 0.500 0.000 Zr
0.000 0.000 0.000 Zr
0.375 0.250 0.125 Zr
0.500 0.000 0.500 Zr
0.500 0.500 0.000 Zr
0.125 0.750 0.375 Zr
0.750 0.125 0.875 Zr
0.750 0.625 0.375 Zr
0.375 0.125 0.750 Zr
0.625 0.875 0.250 Zr
0.500 0.500 0.500 Zr
0.500 0.000 0.000 Zr
0.000 0.000 0.500 Zr
0.250 0.375 0.625 Zr
0.250 0.875 0.125 Zr
0.000 0.500 0.500 Zr
0.875 0.250 0.625 Zr
0.625 0.750 0.875 Zr
0.875 0.625 0.750 Zr
0.708 0.113 0.026 Pm
0.319 0.526 0.414 Pm
0.974 0.387 0.292 Pm
0.526 0.208 0.113 Pm
0.595 0.708 0.681 Pm
0.974 0.586 0.181 Pm
0.319 0.792 0.405 Pm
0.086 0.905 0.113 Pm
0.586 0.974 0.681 Pm
0.708 0.595 0.181 Pm
0.792 0.474 0.387 Pm
0.819 0.914 0.026 Pm
0.113 0.708 0.526 Pm
0.387 0.414 0.095 Pm
0.095 0.914 0.387 Pm
0.405 0.113 0.586 Pm
0.095 0.181 0.208 Pm
0.474 0.681 0.086 Pm
0.819 0.905 0.292 Pm
0.113 0.405 0.086 Pm
0.387 0.974 0.792 Pm
0.586 0.613 0.405 Pm
0.914 0.819 0.526 Pm
0.792 0.319 0.905 Pm
0.414 0.387 0.595 Pm
0.086 0.181 0.474 Pm
0.208 0.681 0.095 Pm
0.181 0.095 0.708 Pm
0.613 0.026 0.208 Pm
0.887 0.595 0.914 Pm
0.526 0.319 0.914 Pm
0.595 0.887 0.414 Pm
0.905 0.819 0.792 Pm
0.905 0.086 0.613 Pm
0.887 0.292 0.474 Pm
0.181 0.086 0.974 Pm
0.613 0.586 0.905 Pm
0.414 0.026 0.319 Pm
0.292 0.405 0.819 Pm
0.208 0.526 0.613 Pm
0.914 0.095 0.887 Pm
0.681 0.208 0.595 Pm
0.474 0.792 0.887 Pm
0.026 0.414 0.819 Pm
0.405 0.292 0.319 Pm
0.026 0.613 0.708 Pm
0.681 0.474 0.586 Pm
0.292 0.887 0.974 Pm
```

Energy ... -84.420 eV/f.u.

***

Pr3Tl2Cd4: relaxed, PBE.

```
Pr3Tl2Cd4
1.0
5.062 0.000 0.000
-2.531 5.304 -2.123
0.000 -0.915 9.535
Pr Tl Cd
3 2 4
Direct
0.666 0.332 0.670 Pr
0.000 0.000 0.000 Pr
0.334 0.668 0.330 Pr
0.609 0.218 0.273 Tl
0.391 0.782 0.727 Tl
0.710 0.420 0.037 Cd
0.290 0.580 0.963 Cd
0.927 0.855 0.590 Cd
0.073 0.145 0.410 Cd
```

ΔE to the lowest computed polymorph ... 17 meV/atom

***

Ta2Nb2W3: relaxed, PBE.

```
Ta2Nb2W3
1.0
-4.540 1.348 0.463
-0.748 -1.923 -1.735
-3.355 -5.486 7.527
Ta Nb W
2 2 3
Direct
0.570 0.500 0.860 Ta
0.430 0.500 0.140 Ta
0.712 0.500 0.577 Nb
0.288 0.500 0.423 Nb
0.859 0.000 0.281 W
0.000 0.000 0.000 W
0.141 0.000 0.719 W
```

ΔE to the lowest computed polymorph ... 0 meV/atom